Entry 1:
# PBE Cs2Sb2Pb, optimized geometry
data_Cs2Sb2Pb
_chemical_formula_sum 'Cs4 Sb4 Pb2'
_space_group_name_H-M_alt 'P 4/m b m'
_space_group_IT_number 127
_space_group_name_Hall '-P 4 2ab'
_cell_length_a 8.295
_cell_length_b 8.295
_cell_length_c 6.271
_cell_angle_alpha 90.00
_cell_angle_beta 90.00
_cell_angle_gamma 90.00
loop_
_atom_site_label
_atom_site_type_symbol
_atom_site_fract_x
_atom_site_fract_y
_atom_site_fract_z
_atom_site_occupancy
Cs1 Cs 0.179 0.321 0.000 1
Sb1 Sb 0.121 0.621 0.500 1
Pb1 Pb 0.000 0.000 0.500 1
# **Formation energy from raw total energies**: -0.28 eV/atom
# **DOS at the Fermi energy**: 0.46 states/eV/atom
# **Energy**: -3.016 eV/atom
# **Magnetic moment**: 0.0 μB/f.u.


Entry 2:
# PBE Cs4Sb6Pb5, optimized geometry
data_Cs4Sb6Pb5
_chemical_formula_sum 'Cs16 Sb24 Pb20'
_space_group_name_H-M_alt 'C m c 21'
_space_group_IT_number 36
_cell_length_a 5.589
_cell_length_b 23.394
_cell_length_c 19.709
_cell_angle_alpha 90.00
_cell_angle_beta 90.00
_cell_angle_gamma 90.00
loop_
_space_group_symop_operation_xyz
'x,y,z'
'-x,-y,z+1/2'
'-x,y,z'
'x,-y,z+1/2'
'x+1/2,y+1/2,z'
'-x+1/2,-y+1/2,z+1/2'
'-x+1/2,y+1/2,z'
'x+1/2,-y+1/2,z+1/2'
loop_
_atom_site_label
_atom_site_type_symbol
_atom_site_fract_x
_atom_site_fract_y
_atom_site_fract_z
_atom_site_occupancy
Cs1 Cs 0.000 0.004 0.000 1
Cs2 Cs 0.000 0.024 0.266 1
Cs3 Cs 0.000 0.173 0.821 1
Cs4 Cs 0.000 0.176 0.453 1
Sb1 Sb 0.000 0.124 0.640 1
Sb2 Sb 0.000 0.212 0.007 1
Sb3 Sb 0.000 0.214 0.257 1
Sb4 Sb 0.000 0.429 0.632 1
Sb5 Sb 0.000 0.434 0.886 1
Sb6 Sb 0.000 0.446 0.355 1
Pb1 Pb 0.000 0.137 0.130 1
Pb2 Pb 0.000 0.298 0.133 1
Pb3 Pb 0.000 0.352 0.763 1
Pb4 Pb 0.000 0.360 0.491 1
Pb5 Pb 0.000 0.435 0.187 1
# **Formation energy from raw total energies**: -0.21 eV/atom
# **DOS at the Fermi energy**: 0.53 states/eV/atom
# **Energy**: -3.324 eV/atom
# **Magnetic moment**: 0.0 μB/f.u.